No. 1
First-principles (GGA-PBE) data for a relaxed Te3SeN crystal, as listed in Alexandria via LeMat-Bulk.

```
data_Te3SeN
_chemical_formula_sum 'Te6 Se2 N2'
_symmetry_space_group_name_H-M 'P 1'
_symmetry_Int_Tables_number 1
_symmetry_space_group_name_Hall 'P 1'
_cell_length_a 5.181
_cell_length_b 7.477
_cell_length_c 8.867
_cell_angle_alpha 99.63
_cell_angle_beta 102.73
_cell_angle_gamma 102.74
loop_
_atom_site_label
_atom_site_type_symbol
_atom_site_fract_x
_atom_site_fract_y
_atom_site_fract_z
Te1 Te 0.000 0.000 0.000
Te2 Te 0.055 0.635 0.843
Te3 Te 0.191 0.942 0.384
Te4 Te 0.413 0.300 0.782
Te5 Te 0.639 0.326 0.140
Te6 Te 0.805 0.676 0.486
Se1 Se 0.439 0.623 0.207
Se2 Se 0.587 0.009 0.641
N1 N 0.361 0.114 0.169
N2 N 0.642 0.538 0.763
```

Calculated values
Its uncorrected formation energy is 498 meV/atom.

---

No. 2
First-principles (GGA-PBE) data for a relaxed SrLa2Si crystal, as listed in Alexandria via LeMat-Bulk.

```
data_SrLa2Si
_chemical_formula_sum 'Sr1 La2 Si1'
_symmetry_space_group_name_H-M 'P 1 2/m 1'
_symmetry_Int_Tables_number 10
_symmetry_space_group_name_Hall '-P 2y'
_cell_length_a 4.038
_cell_length_b 5.354
_cell_length_c 6.263
_cell_angle_alpha 90.00
_cell_angle_beta 103.26
_cell_angle_gamma 90.00
loop_
_atom_site_label
_atom_site_type_symbol
_atom_site_fract_x
_atom_site_fract_y
_atom_site_fract_z
Sr1 Sr 0.000 0.000 0.000
La1 La 0.328 0.500 0.695
Si1 Si 0.500 0.000 0.500
```

Calculated values
Its uncorrected formation energy is -71 meV/atom.

---

No. 3
First-principles (GGA-PBE) data for a relaxed ScNi2Hg crystal, as listed in Alexandria via LeMat-Bulk.

```
data_ScNi2Hg
_chemical_formula_sum 'Sc1 Ni2 Hg1'
_symmetry_space_group_name_H-M 'P 1 m 1'
_symmetry_Int_Tables_number 6
_symmetry_space_group_name_Hall 'P -2y'
_cell_length_a 3.505
_cell_length_b 3.867
_cell_length_c 5.113
_cell_angle_alpha 90.00
_cell_angle_beta 109.96
_cell_angle_gamma 90.00
loop_
_atom_site_label
_atom_site_type_symbol
_atom_site_fract_x
_atom_site_fract_y
_atom_site_fract_z
Sc1 Sc 0.000 0.000 0.000
Ni1 Ni 0.283 0.000 0.563
Ni2 Ni 0.425 0.500 0.850
Hg1 Hg 0.701 0.500 0.398
```

Calculated values
As for the energy of formation: -0.229 eV/atom.

---

No. 4
First-principles (GGA-PBE) data for a relaxed Nb6SnPd crystal, as listed in Alexandria via LeMat-Bulk.

```
data_Nb6SnPd
_chemical_formula_sum 'Nb12 Sn2 Pd2'
_symmetry_space_group_name_H-M 'C m m m'
_symmetry_Int_Tables_number 65
_symmetry_space_group_name_Hall '-C 2 2'
_cell_length_a 7.186
_cell_length_b 8.988
_cell_length_c 4.501
_cell_angle_alpha 90.00
_cell_angle_beta 90.00
_cell_angle_gamma 90.00
loop_
_atom_site_label
_atom_site_type_symbol
_atom_site_fract_x
_atom_site_fract_y
_atom_site_fract_z
Nb1 Nb 0.000 0.244 0.000
Nb2 Nb 0.236 0.500 0.000
Nb3 Nb 0.250 0.250 0.500
Sn1 Sn 0.000 0.000 0.500
Pd1 Pd 0.000 0.500 0.500
```

Calculated values
As for the energy of formation: -0.134 eV/atom.